A relaxed structure of Mo2P3O12, computed with PBEsol.

Cell: 8.696 8.735 14.880 Å, 90.00 125.72 90.00°
Fractional positions:
Mo  0.132  0.035  0.383
Mo  0.132  0.465  0.883
Mo  0.367  0.035  0.118
Mo  0.367  0.465  0.618
Mo  0.633  0.535  0.382
Mo  0.633  0.965  0.882
Mo  0.868  0.535  0.117
Mo  0.868  0.965  0.617
P  0.032  0.750  0.000
P  0.032  0.750  0.500
P  0.249  0.112  0.855
P  0.249  0.388  0.355
P  0.461  0.612  0.855
P  0.461  0.888  0.355
P  0.539  0.112  0.645
P  0.539  0.388  0.145
P  0.751  0.612  0.645
P  0.751  0.888  0.145
P  0.968  0.250  0.000
P  0.968  0.250  0.500
O  0.014  0.662  0.083
O  0.014  0.838  0.583
O  0.066  0.643  0.933
O  0.066  0.857  0.433
O  0.089  0.007  0.768
O  0.089  0.493  0.268
O  0.151  0.161  0.082
O  0.151  0.339  0.582
O  0.190  0.218  0.330
O  0.190  0.282  0.830
O  0.203  0.644  0.567
O  0.203  0.856  0.067
O  0.285  0.593  0.854
O  0.285  0.907  0.354
O  0.297  0.068  0.968
O  0.297  0.432  0.468
O  0.359  0.068  0.533
O  0.359  0.432  0.033
O  0.421  0.092  0.852
O  0.421  0.408  0.352
O  0.444  0.506  0.767
O  0.444  0.994  0.267
O  0.472  0.719  0.330
O  0.472  0.781  0.830
O  0.528  0.219  0.170
O  0.528  0.281  0.670
O  0.556  0.006  0.733
O  0.556  0.494  0.233
O  0.579  0.592  0.648
O  0.579  0.908  0.148
O  0.641  0.568  0.967
O  0.641  0.932  0.467
O  0.703  0.568  0.532
O  0.703  0.932  0.032
O  0.715  0.093  0.646
O  0.715  0.407  0.146
O  0.797  0.144  0.933
O  0.797  0.356  0.433
O  0.810  0.718  0.170
O  0.810  0.782  0.670
O  0.849  0.661  0.418
O  0.849  0.839  0.918
O  0.911  0.507  0.732
O  0.911  0.993  0.232
O  0.934  0.143  0.567
O  0.934  0.357  0.067
O  0.986  0.162  0.417
O  0.986  0.338  0.917

Properties
- total moment (μB per formula unit) = 3.00
- V (Å³/cell) = 917.6
- polymorph energy (0 for the lowest one) (eV per atom) = 0.021
- formation energy without anion corrections (meV per atom) = -2068
- density of states at the Fermi level (states/eV per cell) = 19.63
- symmetry = P2_1/c

A relaxed structure of Mn2CuOs, computed with PBEsol.

Cell: 2.640 2.640 6.950 Å, 90.00 90.00 90.00°
Fractional positions:
Mn  0.000  0.000  0.248
Mn  0.000  0.000  0.752
Cu  0.500  0.500  0.000
Os  0.500  0.500  0.500

Properties
- total moment (μB per formula unit) = 3.62
- V (Å³/cell) = 48.4
- formation energy from the elements (eV/atom) = 0.2271
- density of states at the Fermi level (states/eV per cell) = 4.81
- symmetry = P4/mmm

A relaxed structure of CaAl4Sb, computed with PBEsol.

Cell: 5.569 5.569 5.569 Å, 60.00 60.00 60.00°
Fractional positions:
Ca  0.000  0.000  0.000
Al  0.375  0.375  0.375
Al  0.375  0.375  0.875
Al  0.375  0.875  0.375
Al  0.875  0.375  0.375
Sb  0.750  0.750  0.750

Properties
- total moment (μB per formula unit) = 0.00
- V (Å³/cell) = 122.1
- formation energy without anion corrections (meV per atom) = -92
- density of states at the Fermi level (states/eV per cell) = 3.14
- symmetry = F-43m

A relaxed structure of K2CaAl, computed with PBEsol.

Cell: 3.754 5.109 19.591 Å, 90.00 90.00 90.00°
Fractional positions:
K  0.000  0.000  0.157
K  0.000  0.000  0.843
K  0.500  0.500  0.343
K  0.500  0.500  0.657
Ca  0.000  0.500  0.000
Ca  0.500  0.000  0.500
Al  0.000  0.500  0.500
Al  0.500  0.000  0.000

Properties
- total moment (μB per formula unit) = 0.00
- V (Å³/cell) = 375.7
- formation energy from the elements (eV/atom) = 0.1686
- density of states at the Fermi level (states/eV per cell) = 8.21
- symmetry = Immm

A relaxed structure of ErAsSe, computed with PBEsol.

Cell: 3.830 3.830 8.540 Å, 90.00 90.00 90.00°
Fractional positions:
Er  0.250  0.250  0.223
Er  0.750  0.750  0.777
As  0.250  0.750  0.500
As  0.750  0.250  0.500
Se  0.250  0.250  0.876
Se  0.750  0.750  0.124

Properties
- total moment (μB per formula unit) = 0.00
- V (Å³/cell) = 125.3
- formation energy without anion corrections (meV per atom) = -1469
- density of states at the Fermi level (states/eV per cell) = 1.73
- symmetry = P4/nmm

A relaxed structure of TaPtAu, computed with PBEsol.

Cell: 6.108 6.108 6.108 Å, 90.00 90.00 90.00°
Fractional positions:
Ta  0.000  0.000  0.000
Ta  0.000  0.500  0.500
Ta  0.500  0.000  0.500
Ta  0.500  0.500  0.000
Pt  0.000  0.000  0.500
Pt  0.000  0.500  0.000
Pt  0.500  0.000  0.000
Pt  0.500  0.500  0.500
Au  0.250  0.250  0.750
Au  0.250  0.750  0.250
Au  0.750  0.250  0.250
Au  0.750  0.750  0.750

Properties
- total moment (μB per formula unit) = 0.00
- V (Å³/cell) = 227.9
- formation energy from the elements (eV/atom) = 0.3134
- polymorph energy (0 for the lowest one) (eV per atom) = 0.788
- density of states at the Fermi level (states/eV per cell) = 19.63
- symmetry = F-43m